1.
Entry from Alexandria via LeMat-Bulk: an optimized crystal structure of Gd3WCl3O6 (GGA+U).

Values from the calculation:
N(E_F)	0.00	states/eV per cell
spin magnetization	41.99	μB per cell
energy	-0.339	hartree per atom
crystal system	hexagonal

a = 9.2408 Å, b = 9.2408 Å, c = 5.3341 Å
α = 90.00°, β = 90.00°, γ = 120.00°
Closest atoms and distances in Å follow each position.
Space group P6_3/m (No. 176)
Symmetry-distinct sites (fractional):
Gd: 0.0882 0.6828 0.2500 (multiplicity 6)  4 O 2.35-2.45
W: 0.3333 0.6667 0.7500 (multiplicity 2)  6 O 1.96
Cl: 0.0493 0.8076 0.7500 (multiplicity 6)  4 Gd 2.95-3.00, 4 O 3.02-3.05
O: 0.1567 0.5228 0.5144 (multiplicity 12)  1 W 1.96



2.
Entry from Alexandria via LeMat-Bulk: an optimized crystal structure of GdWClO4 (GGA+U).

Values from the calculation:
N(E_F)	0.00	states/eV per cell
spin magnetization	27.96	μB per cell
energy	-0.315	hartree per atom
crystal system	monoclinic

a = 10.4669 Å, b = 7.4491 Å, c = 7.0395 Å
α = 90.00°, β = 107.67°, γ = 90.00°
Closest atoms and distances in Å follow each position.
Space group C2/m (No. 12)
Symmetry-distinct sites (fractional):
Gd: 0.2218 0.0000 0.1180 (multiplicity 4)  4 O 2.34-2.35
W: 0.1372 0.5000 0.2663 (multiplicity 4)  4 O 1.80-1.83
Cl: 0.0111 0.0000 0.7690 (multiplicity 4)  2 Gd 2.76-2.78
O: 0.0438 0.5000 0.8051 (multiplicity 4)  1 W 1.81
O: 0.2001 0.3096 0.1564 (multiplicity 8)  1 W 1.83
O: 0.2043 0.5000 0.5332 (multiplicity 4)  1 W 1.80



- N(E_F) of number 1 (Gd3WCl3O6)?
  0.00 states/eV per cell



- Among the records above, which one has the highest spin magnetization?
  Gd3WCl3O6